Y2ZnFe: PBEsol geometry, meta-GGA SCAN.

Computed properties:
Calculated formation energy in eV per atom: 0.076
Magnetic moment in μB/f.u.: 1.5

```
data_Y2ZnFe
_cell_length_a 4.170
_cell_length_b 4.170
_cell_length_c 9.139
_cell_angle_alpha 90.00
_cell_angle_beta 90.00
_cell_angle_gamma 90.00
_symmetry_space_group_name_H-M 'I -4 m 2'
_symmetry_Int_Tables_number 119
_symmetry_space_group_name_Hall 'I -4 -2'
loop_
_atom_site_label
_atom_site_fract_x
_atom_site_fract_y
_atom_site_fract_z
Y1 0.000 0.000 0.000
Y2 0.000 0.500 0.250
Zn1 0.000 0.000 0.500
Fe1 0.000 0.500 0.750
```

---

PbW3: PBEsol geometry, meta-GGA SCAN.

Computed properties:
Calculated formation energy in eV per atom: 0.868
Energy above the lowest structure with this stoichiometry in kJ/mol of atoms: 5.7
Magnetic moment in μB/f.u.: 0.0

```
data_PbW3
_cell_length_a 9.558
_cell_length_b 3.157
_cell_length_c 4.789
_cell_angle_alpha 90.00
_cell_angle_beta 105.84
_cell_angle_gamma 90.00
_symmetry_space_group_name_H-M 'C 1 2/m 1'
_symmetry_Int_Tables_number 12
_symmetry_space_group_name_Hall '-C 2y'
loop_
_atom_site_label
_atom_site_fract_x
_atom_site_fract_y
_atom_site_fract_z
Pb1 0.000 0.000 0.000
W1 0.000 0.500 0.500
W2 0.235 0.000 0.723
```

---

CsTlCl2: PBEsol geometry, meta-GGA SCAN.

Computed properties:
Formation energy (no corrections) in eV/atom: -1.61
Energy above the lowest structure with this stoichiometry in kJ/mol of atoms: 0.0
Magnetic moment in μB/f.u.: 0.0

```
data_CsTlCl2
_cell_length_a 7.828
_cell_length_b 7.828
_cell_length_c 7.828
_cell_angle_alpha 90.00
_cell_angle_beta 90.00
_cell_angle_gamma 90.00
_symmetry_space_group_name_H-M 'F m -3 m'
_symmetry_Int_Tables_number 225
_symmetry_space_group_name_Hall '-F 4 2 3'
loop_
_atom_site_label
_atom_site_fract_x
_atom_site_fract_y
_atom_site_fract_z
Cs1 0.000 0.000 0.000
Tl1 0.000 0.000 0.500
Cl1 0.250 0.250 0.250
```

---

SbAu: PBEsol geometry, meta-GGA SCAN.

Computed properties:
Formation energy (no corrections) in eV/atom: -0.12
Magnetic moment in μB/f.u.: 0.0

```
data_SbAu
_cell_length_a 4.0873
_cell_length_b 4.0873
_cell_length_c 18.9732
_cell_angle_alpha 90.00
_cell_angle_beta 90.00
_cell_angle_gamma 120.00
_symmetry_space_group_name_H-M 'R -3 m'
_symmetry_Int_Tables_number 166
_symmetry_space_group_name_Hall '-R 3 2"'
loop_
_atom_site_label
_atom_site_fract_x
_atom_site_fract_y
_atom_site_fract_z
Sb1 0.0000 0.0000 0.1089
Au1 0.0000 0.0000 0.3709
```

---

PrBPt3: PBEsol geometry, meta-GGA SCAN.

Computed properties:
Calculated formation energy in eV per atom: -1.015
Magnetic moment in μB/f.u.: 0.0

```
data_PrBPt3
_cell_length_a 4.003
_cell_length_b 4.003
_cell_length_c 5.052
_cell_angle_alpha 90.00
_cell_angle_beta 90.00
_cell_angle_gamma 90.00
_symmetry_space_group_name_H-M 'P 4 m m'
_symmetry_Int_Tables_number 99
_symmetry_space_group_name_Hall 'P 4 -2'
loop_
_atom_site_label
_atom_site_fract_x
_atom_site_fract_y
_atom_site_fract_z
Pr1 0.000 0.000 0.000
B1 0.500 0.500 0.706
Pt1 0.000 0.500 0.517
Pt2 0.500 0.500 0.121
```

---

Li2ZrSb: PBEsol geometry, meta-GGA SCAN.

Computed properties:
Formation energy (no corrections) in eV/atom: -0.19
Magnetic moment in μB/f.u.: 0.0

```
data_Li2ZrSb
_cell_length_a 4.021
_cell_length_b 4.021
_cell_length_c 21.389
_cell_angle_alpha 90.00
_cell_angle_beta 90.00
_cell_angle_gamma 90.00
_symmetry_space_group_name_H-M 'I -4 2 d'
_symmetry_Int_Tables_number 122
_symmetry_space_group_name_Hall 'I -4 2bw'
loop_
_atom_site_label
_atom_site_fract_x
_atom_site_fract_y
_atom_site_fract_z
Li1 0.236 0.250 0.125
Zr1 0.000 0.000 0.500
Sb1 0.000 0.000 0.000
```

---

TaAlPb2: PBEsol geometry, meta-GGA SCAN.

Computed properties:
Calculated formation energy in eV per atom: 0.860
Magnetic moment in μB/f.u.: 0.0

```
data_TaAlPb2
_cell_length_a 7.128
_cell_length_b 7.128
_cell_length_c 7.128
_cell_angle_alpha 90.00
_cell_angle_beta 90.00
_cell_angle_gamma 90.00
_symmetry_space_group_name_H-M 'F -4 3 m'
_symmetry_Int_Tables_number 216
_symmetry_space_group_name_Hall 'F -4 2 3'
loop_
_atom_site_label
_atom_site_fract_x
_atom_site_fract_y
_atom_site_fract_z
Ta1 0.000 0.000 0.000
Al1 0.250 0.250 0.750
Pb1 0.000 0.000 0.500
Pb2 0.250 0.250 0.250
```

---

MgAuBr2: PBEsol geometry, meta-GGA SCAN.

Computed properties:
Formation energy (no corrections) in eV/atom: -0.46
Energy above the lowest structure with this stoichiometry in kJ/mol of atoms: 16.6
Magnetic moment in μB/f.u.: 0.0

```
data_MgAuBr2
_cell_length_a 3.674
_cell_length_b 5.715
_cell_length_c 9.622
_cell_angle_alpha 90.00
_cell_angle_beta 90.00
_cell_angle_gamma 90.00
_symmetry_space_group_name_H-M 'C m m m'
_symmetry_Int_Tables_number 65
_symmetry_space_group_name_Hall '-C 2 2'
loop_
_atom_site_label
_atom_site_fract_x
_atom_site_fract_y
_atom_site_fract_z
Mg1 0.000 0.000 0.000
Au1 0.000 0.000 0.500
Br1 0.000 0.500 0.182
```

---

BeAs2W: PBEsol geometry, meta-GGA SCAN.

Computed properties:
Calculated formation energy in eV per atom: 0.631
Magnetic moment in μB/f.u.: 0.0

```
data_BeAs2W
_cell_length_a 3.673
_cell_length_b 3.673
_cell_length_c 8.688
_cell_angle_alpha 90.00
_cell_angle_beta 90.00
_cell_angle_gamma 90.00
_symmetry_space_group_name_H-M 'I -4 m 2'
_symmetry_Int_Tables_number 119
_symmetry_space_group_name_Hall 'I -4 -2'
loop_
_atom_site_label
_atom_site_fract_x
_atom_site_fract_y
_atom_site_fract_z
Be1 0.000 0.000 0.000
As1 0.000 0.000 0.500
As2 0.000 0.500 0.750
W1 0.000 0.500 0.250
```

---

TaAgO2F: PBEsol geometry, meta-GGA SCAN.

Computed properties:
Formation energy (no corrections) in eV/atom: -1.99
Magnetic moment in μB/f.u.: 0.0

```
data_TaAgO2F
_cell_length_a 3.947
_cell_length_b 3.947
_cell_length_c 4.146
_cell_angle_alpha 90.00
_cell_angle_beta 90.00
_cell_angle_gamma 90.00
_symmetry_space_group_name_H-M 'P 4/m m m'
_symmetry_Int_Tables_number 123
_symmetry_space_group_name_Hall '-P 4 2'
loop_
_atom_site_label
_atom_site_fract_x
_atom_site_fract_y
_atom_site_fract_z
Ta1 0.000 0.000 0.000
Ag1 0.500 0.500 0.500
O1 0.000 0.500 0.000
F1 0.000 0.000 0.500
```

---

GaSi3Sb: PBEsol geometry, meta-GGA SCAN.

Computed properties:
Formation energy (no corrections) in eV/atom: 1.00
Magnetic moment in μB/f.u.: 0.0

```
data_GaSi3Sb
_cell_length_a 4.732
_cell_length_b 4.732
_cell_length_c 4.732
_cell_angle_alpha 90.00
_cell_angle_beta 90.00
_cell_angle_gamma 90.00
_symmetry_space_group_name_H-M 'P m -3 m'
_symmetry_Int_Tables_number 221
_symmetry_space_group_name_Hall '-P 4 2 3'
loop_
_atom_site_label
_atom_site_fract_x
_atom_site_fract_y
_atom_site_fract_z
Ga1 0.000 0.000 0.000
Si1 0.000 0.000 0.500
Sb1 0.500 0.500 0.500
```

---

Hf3FeS: PBEsol geometry, meta-GGA SCAN.

Computed properties:
Formation energy (no corrections) in eV/atom: 0.22
Magnetic moment in μB/f.u.: 0.0

```
data_Hf3FeS
_cell_length_a 4.688
_cell_length_b 4.688
_cell_length_c 4.688
_cell_angle_alpha 90.00
_cell_angle_beta 90.00
_cell_angle_gamma 90.00
_symmetry_space_group_name_H-M 'P m -3 m'
_symmetry_Int_Tables_number 221
_symmetry_space_group_name_Hall '-P 4 2 3'
loop_
_atom_site_label
_atom_site_fract_x
_atom_site_fract_y
_atom_site_fract_z
Hf1 0.000 0.000 0.500
Fe1 0.000 0.000 0.000
S1 0.500 0.500 0.500
```